Record 1
# AcZr2Np GGA-PBE optimized geometry
data_AcZr2Np
_chemical_formula_sum 'Ac1 Zr2 Np1'
_space_group_name_H-M_alt 'P 1'
_space_group_IT_number 1
_cell_length_a 3.342
_cell_length_b 3.342
_cell_length_c 11.745
_cell_angle_alpha 81.82
_cell_angle_beta 81.82
_cell_angle_gamma 60.00
loop_
_space_group_symop_operation_xyz
'x,y,z'
loop_
_atom_site_label
_atom_site_fract_x
_atom_site_fract_y
_atom_site_fract_z
Np1 0.500 0.500 0.500
Ac1 0.000 0.000 0.000
Zr1 0.905 0.905 0.286
Zr2 0.095 0.095 0.714
# - Formation energy from the elements: 215 kJ/mol of formula units
# - Mass density: 9.578 g cm⁻³
# - VASP energy: -7.98 eV per atom



Record 2
# AcO2 GGA-PBE optimized geometry
data_AcO2
_chemical_formula_sum 'Ac2 O4'
_space_group_name_H-M_alt 'P 1'
_space_group_IT_number 1
_cell_length_a 4.287
_cell_length_b 4.135
_cell_length_c 6.951
_cell_angle_alpha 96.43
_cell_angle_beta 90.00
_cell_angle_gamma 121.22
loop_
_space_group_symop_operation_xyz
'x,y,z'
loop_
_atom_site_label
_atom_site_fract_x
_atom_site_fract_y
_atom_site_fract_z
O1 0.926 0.857 0.573
O2 0.343 0.690 0.137
O3 0.068 0.140 0.428
O4 0.651 0.307 0.864
Ac1 0.297 0.598 0.769
Ac2 0.697 0.399 0.233
# - Raw formation energy: -2854 meV per atom
# - Mass density: 8.233 g cm⁻³
# - VASP energy: -7.53 eV per atom



Question: Which value of mass density does entry 2 give?
Answer: 8.233 g cm⁻³



Question: The lowest mass density belongs to which entry?
Answer: AcO2



Question: Which formula does entry 2 have?
Answer: AcO2